## La5Tm2Pb5 (PBE)

Data for an optimized crystal structure of La5Tm2Pb5.

abc: 15.335 4.611 13.107
angles: 90.00 113.24 90.00
Space group C2/m (No. 12)
Inequivalent atoms, fractional coordinates:
La 0.000 0.000 0.000 [2 per cell]
La 0.164 0.000 0.534 [4 per cell]
La 0.215 0.000 0.834 [4 per cell]
Tm 0.053 0.500 0.291 [4 per cell]
Pb 0.000 0.500 0.500 [2 per cell]
Pb 0.115 0.500 0.927 [4 per cell]
Pb 0.186 0.000 0.282 [4 per cell]

Results
- Formation enthalpy at 0 K: -0.427 eV per atom
- Crystal system: monoclinic
- DOS at the Fermi energy: 13.113 states/eV/cell